# Dy3B7W (PBE, optimized geometry)
# Formation energy from the elements = -0.588 eV/atom
data_Dy3B7W
_space_group_name_H-M_alt 'C m c m'
_space_group_IT_number 63
_space_group_name_Hall '-C 2c 2'
_cell_length_a 3.467
_cell_length_b 16.014
_cell_length_c 9.488
_cell_angle_alpha 90.00
_cell_angle_beta 90.00
_cell_angle_gamma 90.00
loop_
_atom_site_label
_atom_site_type_symbol
_atom_site_fract_x
_atom_site_fract_y
_atom_site_fract_z
Dy1 Dy 0.000 0.107 0.060
Dy2 Dy 0.000 0.244 0.750
B1 B 0.000 0.272 0.032
B2 B 0.000 0.365 0.148
B3 B 0.000 0.456 0.750
B4 B 0.000 0.480 0.092
W1 W 0.000 0.053 0.750



# B (PBE, optimized geometry)
# Formation energy from the elements = 0.287 eV/atom
# Distance to the lowest polymorph of the same formula = 27.7 kJ/mol of atoms
data_B
_space_group_name_H-M_alt 'P 1'
_space_group_IT_number 1
_cell_length_a 2.883
_cell_length_b 5.814
_cell_length_c 5.934
_cell_angle_alpha 79.46
_cell_angle_beta 89.95
_cell_angle_gamma 75.71
loop_
_space_group_symop_operation_xyz
'x,y,z'
loop_
_atom_site_label
_atom_site_type_symbol
_atom_site_fract_x
_atom_site_fract_y
_atom_site_fract_z
B1 B 0.000 0.000 0.000
B2 B 0.012 0.974 0.559
B3 B 0.129 0.726 0.158
B4 B 0.152 0.682 0.511
B5 B 0.262 0.463 0.362
B6 B 0.399 0.185 0.299
B7 B 0.484 0.023 0.766
B8 B 0.612 0.763 0.989
B9 B 0.627 0.733 0.697
B10 B 0.754 0.479 0.580
B11 B 0.900 0.190 0.732
B12 B 0.972 0.037 0.273



This record from the Alexandria database describes a relaxed structure of SiNi2Os. The functional is PBE.

The structure in CIF format:
```
data_SiNi2Os
_space_group_name_H-M_alt 'I m m 2'
_space_group_IT_number 44
_cell_length_a 3.042
_cell_length_b 4.038
_cell_length_c 7.856
_cell_angle_alpha 90.00
_cell_angle_beta 90.00
_cell_angle_gamma 90.00
loop_
_space_group_symop_operation_xyz
'x,y,z'
'-x,-y,z'
'-x,y,z'
'x,-y,z'
'x+1/2,y+1/2,z+1/2'
'-x+1/2,-y+1/2,z+1/2'
'-x+1/2,y+1/2,z+1/2'
'x+1/2,-y+1/2,z+1/2'
loop_
_atom_site_label
_atom_site_type_symbol
_atom_site_fract_x
_atom_site_fract_y
_atom_site_fract_z
Si1 Si 0.000 0.000 0.000
Ni1 Ni 0.000 0.000 0.484
Ni2 Ni 0.000 0.500 0.715
Os1 Os 0.000 0.500 0.259
```



# Tb2HoEr8 (PBE, optimized geometry)
# Formation energy from the elements = 0.164 eV/atom
# Distance to the lowest polymorph of the same formula = 4.4 kJ/mol of atoms
data_Tb2HoEr8
_space_group_name_H-M_alt 'C 1 2/m 1'
_space_group_IT_number 12
_cell_length_a 8.967
_cell_length_b 16.206
_cell_length_c 5.820
_cell_angle_alpha 90.00
_cell_angle_beta 125.35
_cell_angle_gamma 90.00
loop_
_space_group_symop_operation_xyz
'x,y,z'
'-x,-y,-z'
'-x,y,-z'
'x,-y,z'
'x+1/2,y+1/2,z'
'-x+1/2,-y+1/2,-z'
'-x+1/2,y+1/2,-z'
'x+1/2,-y+1/2,z'
loop_
_atom_site_label
_atom_site_type_symbol
_atom_site_fract_x
_atom_site_fract_y
_atom_site_fract_z
Tb1 Tb 0.000 0.191 0.000
Ho1 Ho 0.000 0.500 0.500
Er1 Er 0.000 0.296 0.500
Er2 Er 0.061 0.000 0.291
Er3 Er 0.219 0.379 0.190



Number 1: spin magnetization 0.00 Bohr magnetons per cell, DFT total energy -7.27 eV/atom. Number 2: spin magnetization 0.00 Bohr magnetons per cell, DFT total energy -6.39 eV/atom. Number 3: spin magnetization 0.00 Bohr magnetons per cell, DFT total energy -7.18 eV/atom. Number 4: spin magnetization 0.00 Bohr magnetons per cell, DFT total energy -4.41 eV/atom.